Entry 1:
The following is a DFT calculation (PBE-GGA) of ZnPS2 after structural relaxation.

a = 5.0075 Å, b = 5.0075 Å, c = 7.4269 Å
α = 70.30°, β = 70.30°, γ = 90.00°
Positions (direct):
P 0.5000 0.5000 0.0000
P 0.2500 0.7500 0.5000
S 0.3750 0.3864 0.7500
S 0.1364 0.6250 0.2500
S 0.6136 0.1250 0.2500
S 0.8750 0.8636 0.7500
Zn 0.7500 0.2500 0.5000
Zn 0.0000 0.0000 0.0000

Summary:
Symmetry: No. 122
Uncorrected formation energy (eV per atom): 0.058
ΔE to the lowest computed polymorph (meV per atom): 0

---

Entry 2:
The following is a DFT calculation (PBE-GGA) of Mg3Zr after structural relaxation.

a = 5.9582 Å, b = 5.9582 Å, c = 5.9582 Å
α = 90.00°, β = 90.00°, γ = 90.00°
Each line ends with the local moment (μB).
Positions (direct):
Zr 0.0000 0.0000 0.0000  1.58
Mg 0.0000 0.5000 0.0000  0.03
Mg 0.0000 0.0000 0.5000  0.03
Mg 0.5000 0.0000 0.0000  0.03

Summary:
Symmetry: No. 221
Formation energy from the elements (eV/atom): 1.357

---

Entry 3:
The following is a DFT calculation (PBE-GGA) of ZrAlTc after structural relaxation.

a = 4.5218 Å, b = 3.3932 Å, c = 13.5051 Å
α = 90.00°, β = 91.30°, γ = 90.00°
Positions (direct):
Zr 0.2441 0.0000 0.4162
Zr 0.7559 0.5000 0.0838
Zr 0.7559 0.0000 0.5838
Zr 0.2441 0.5000 0.9162
Tc 0.2590 0.0000 0.0935
Tc 0.7410 0.5000 0.4065
Tc 0.7410 0.0000 0.9065
Tc 0.2590 0.5000 0.5935
Al 0.7445 0.5000 0.7587
Al 0.2555 0.0000 0.7413
Al 0.7445 0.0000 0.2587
Al 0.2555 0.5000 0.2413

Summary:
Symmetry: No. 12
Formation energy from the elements (eV/atom): -0.418
ΔE to the lowest computed polymorph (meV per atom): 90

---

Entry 4:
The following is a DFT calculation (PBE-GGA) of Ba2YH after structural relaxation.

a = 3.8418 Å, b = 3.8418 Å, c = 10.8215 Å
α = 79.78°, β = 79.78°, γ = 60.00°
Each line ends with the local moment (μB).
Positions (direct):
Y 0.0000 0.0000 0.0000  0.06
Ba 0.8868 0.8868 0.3395  0.08
Ba 0.1132 0.1132 0.6605  0.08
H 0.5000 0.5000 0.5000  0.00

Summary:
Symmetry: No. 166
ΔE to the lowest computed polymorph (meV per atom): 45

---

Entry 5:
The following is a DFT calculation (PBE-GGA) of Er2ZrGa after structural relaxation.

a = 3.3571 Å, b = 3.3571 Å, c = 11.3659 Å
α = 81.51°, β = 81.51°, γ = 60.00°
Positions (direct):
Er 0.0887 0.0887 0.7338
Er 0.9113 0.9113 0.2662
Zr 0.5000 0.5000 0.5000
Ga 0.0000 0.0000 0.0000

Summary:
Symmetry: No. 166
Formation energy from the elements (eV/atom): 0.148
ΔE to the lowest computed polymorph (meV per atom): 403

---

Entry 6:
The following is a DFT calculation (PBE-GGA) of NbV3N after structural relaxation.

a = 5.4726 Å, b = 5.4724 Å, c = 8.5606 Å
α = 90.00°, β = 90.00°, γ = 90.00°
Positions (direct):
Nb 0.9999 0.9999 0.2500
Nb 0.0001 0.0001 0.7500
Nb 0.4999 0.5001 0.2500
Nb 0.5001 0.4999 0.7500
V 0.2944 0.2944 0.0000
V 0.7056 0.7056 0.0000
V 0.2944 0.2944 0.5000
V 0.2055 0.7945 0.0000
V 0.7945 0.2055 0.0000
V 0.0000 0.4999 0.2500
V 0.5000 0.9999 0.7500
V 0.7056 0.7056 0.5000
V 0.5000 0.0001 0.2500
V 0.7945 0.2055 0.5000
V 0.0000 0.5001 0.7500
V 0.2055 0.7945 0.5000
N 0.5000 0.0000 0.0000
N 0.0000 0.5000 0.5000
N 0.0000 0.5000 0.0000
N 0.5000 0.0000 0.5000

Summary:
Symmetry: No. 127
Uncorrected formation energy (eV per atom): -0.486
ΔE to the lowest computed polymorph (meV per atom): 0

---

Entry 7:
The following is a DFT calculation (PBE-GGA) of PrNdTmTh after structural relaxation.

a = 3.6205 Å, b = 3.6194 Å, c = 11.9287 Å
α = 90.01°, β = 98.74°, γ = 119.98°
Positions (direct):
Th 0.3053 0.5506 0.8722
Tm 0.1315 0.9639 0.1095
Pr 0.9644 0.3805 0.3603
Nd 0.4767 0.1359 0.6276

Summary:
Symmetry: No. 160
Formation energy from the elements (eV/atom): 0.022
ΔE to the lowest computed polymorph (meV per atom): 0

---

Entry 8:
The following is a DFT calculation (PBE-GGA) of PaSe after structural relaxation.

a = 3.5396 Å, b = 3.5396 Å, c = 3.5396 Å
α = 90.00°, β = 90.00°, γ = 90.00°
Each line ends with the local moment (μB).
Positions (direct):
Pa 0.0000 0.0000 0.0000  0.92
Se 0.5000 0.5000 0.5000  -0.02

Summary:
Symmetry: No. 221
Uncorrected formation energy (eV per atom): -0.973
ΔE to the lowest computed polymorph (meV per atom): 226

---

Entry 9:
The following is a DFT calculation (PBE-GGA) of EuPuTl4 after structural relaxation.

a = 7.9274 Å, b = 7.9274 Å, c = 7.9274 Å
α = 60.00°, β = 60.00°, γ = 60.00°
Each line ends with the local moment (μB).
Positions (direct):
Tl 0.8474 0.8474 0.8474  0.04
Tl 0.8474 0.8474 0.4578  0.04
Tl 0.8474 0.4578 0.8474  0.04
Tl 0.4578 0.8474 0.8474  0.04
Pu 0.0000 0.0000 0.0000  5.58
Eu 0.2500 0.2500 0.2500  6.98

Summary:
Symmetry: No. 216
Formation energy from the elements (eV/atom): 0.714

---

Entry 10:
The following is a DFT calculation (PBE-GGA) of GaTcOs after structural relaxation.

a = 2.8597 Å, b = 2.8597 Å, c = 5.6766 Å
α = 104.59°, β = 104.59°, γ = 90.00°
Positions (direct):
Ga 0.9994 0.9994 0.9988
Os 0.3293 0.3293 0.6587
Tc 0.6712 0.6712 0.3425

Summary:
Symmetry: No. 107
Formation energy from the elements (eV/atom): -0.103
ΔE to the lowest computed polymorph (meV per atom): 0

---

Entry 11:
The following is a DFT calculation (PBE-GGA) of PuCd2Ag after structural relaxation.

a = 5.1071 Å, b = 5.1071 Å, c = 5.1071 Å
α = 60.00°, β = 60.00°, γ = 60.00°
Each line ends with the local moment (μB).
Positions (direct):
Pu 0.0000 0.0000 0.0000  5.48
Cd 0.2500 0.2500 0.2500  0.04
Cd 0.7500 0.7500 0.7500  0.04
Ag 0.5000 0.5000 0.5000  0.03

Summary:
Symmetry: No. 225
Formation energy from the elements (eV/atom): 0.068

---

Entry 12:
The following is a DFT calculation (PBE-GGA) of Tb8Dy2Tm3 after structural relaxation.

a = 5.5681 Å, b = 7.5809 Å, c = 10.7619 Å
α = 110.62°, β = 90.01°, γ = 90.00°
Positions (direct):
Tm 0.0000 0.2847 0.0000
Tm 0.0000 0.7153 0.0000
Tm 0.5000 0.0000 0.0000
Tb 0.5001 0.8168 0.2134
Tb 0.0002 0.8685 0.7370
Tb 0.4999 0.1832 0.7866
Tb 0.9996 0.3328 0.6656
Tb 0.0004 0.6672 0.3344
Tb 0.5001 0.3967 0.2134
Tb 0.9998 0.1315 0.2630
Tb 0.4999 0.6033 0.7866
Dy 0.4995 0.2409 0.4817
Dy 0.5005 0.7591 0.5183

Summary:
Symmetry: No. 12
Formation energy from the elements (eV/atom): 0.227

---

Entry 13:
The following is a DFT calculation (PBE-GGA) of CsMg2Cd3 after structural relaxation.

a = 6.1696 Å, b = 7.8753 Å, c = 7.8753 Å
α = 104.97°, β = 90.00°, γ = 90.00°
Positions (direct):
Cs 0.7500 0.6542 0.6542
Cs 0.2500 0.3458 0.3458
Cd 0.2500 0.5318 0.9324
Cd 0.7500 0.0676 0.4682
Cd 0.7500 0.0794 0.0794
Cd 0.2500 0.9206 0.9206
Cd 0.7500 0.4682 0.0676
Cd 0.2500 0.9324 0.5318
Mg 0.5000 0.2003 0.7997
Mg 0.0000 0.2003 0.7997
Mg 0.0000 0.7997 0.2003
Mg 0.5000 0.7997 0.2003

Summary:
Symmetry: No. 63
Formation energy from the elements (eV/atom): -0.066

---

Entry 14:
The following is a DFT calculation (PBE-GGA) of K2U2CoS6 after structural relaxation.

a = 6.5953 Å, b = 6.5953 Å, c = 7.9066 Å
α = 97.92°, β = 97.92°, γ = 119.98°
Each line ends with the local moment (μB).
Positions (direct):
U 0.3352 0.6648 0.5000  1.67
U 0.6648 0.3352 0.5000  1.67
S 0.9374 0.6119 0.3088  -0.04
S 0.3881 0.0626 0.6912  -0.04
S 0.0626 0.3881 0.6912  -0.04
S 0.7482 0.7482 0.6887  -0.04
S 0.2518 0.2518 0.3113  -0.04
S 0.6119 0.9374 0.3088  -0.04
K 0.8339 0.1661 0.0000  0.00
K 0.1661 0.8339 0.0000  0.00
Co 0.0000 0.0000 0.5000  1.70

Summary:
Symmetry: No. 12
Uncorrected formation energy (eV per atom): -1.131

---

Entry 15:
The following is a DFT calculation (PBE-GGA) of La3Tb2Ho4 after structural relaxation.

a = 3.6109 Å, b = 8.0655 Å, c = 10.7980 Å
α = 76.82°, β = 90.00°, γ = 102.94°
Positions (direct):
Tb 0.3330 0.6660 0.2204
Tb 0.6670 0.3340 0.7796
La 0.0000 0.0000 0.0000
La 0.3338 0.6676 0.5559
La 0.6662 0.3324 0.4441
Ho 0.9994 0.9988 0.6695
Ho 0.0006 0.0012 0.3305
Ho 0.3332 0.6663 0.8899
Ho 0.6668 0.3337 0.1101

Summary:
Symmetry: No. 12
Formation energy from the elements (eV/atom): 0.023
ΔE to the lowest computed polymorph (meV per atom): 0

---

Entry 16:
The following is a DFT calculation (PBE-GGA) of NdY2Cu2Ge2 after structural relaxation.

a = 4.2881 Å, b = 4.2881 Å, c = 10.0483 Å
α = 77.68°, β = 77.68°, γ = 60.00°
Positions (direct):
Y 0.1255 0.1255 0.6234
Y 0.8745 0.8745 0.3766
Ge 0.2629 0.2629 0.2113
Ge 0.7371 0.7371 0.7887
Nd 0.0000 0.0000 0.0000
Cu 0.5999 0.5999 0.2004
Cu 0.4001 0.4001 0.7996

Summary:
Symmetry: No. 166
Formation energy from the elements (eV/atom): -0.504

---

Entry 17:
The following is a DFT calculation (PBE-GGA) of Nd6GeTe3P2 after structural relaxation.

a = 4.3064 Å, b = 8.8462 Å, c = 9.8430 Å
α = 105.14°, β = 102.64°, γ = 90.00°
Positions (direct):
P 0.8324 0.6651 0.6648
P 0.1676 0.3349 0.3352
Te 0.8336 0.1676 0.6672
Te 0.1664 0.8324 0.3328
Te 0.5000 0.5000 0.0000
Nd 0.6747 0.5639 0.3495
Nd 0.3253 0.4361 0.6505
Nd 0.6608 0.1039 0.3216
Nd 0.3392 0.8961 0.6784
Nd 0.0078 0.2362 0.0156
Nd 0.9922 0.7638 0.9844
Ge 0.5000 0.0000 0.0000

Summary:
Symmetry: No. 12
Uncorrected formation energy (eV per atom): -1.457

---

Entry 18:
The following is a DFT calculation (PBE-GGA) of CsKHgI4 after structural relaxation.

a = 8.2909 Å, b = 8.4657 Å, c = 10.4698 Å
α = 90.00°, β = 107.88°, γ = 90.00°
Positions (direct):
I 0.4304 0.7500 0.5859
I 0.5891 0.2500 0.8684
I 0.4109 0.7500 0.1316
I 0.5696 0.2500 0.4141
I 0.0115 0.5105 0.7361
I 0.0115 0.9895 0.7361
I 0.9885 0.0105 0.2639
I 0.9885 0.4895 0.2639
Cs 0.7541 0.7500 0.9403
Cs 0.2459 0.2500 0.0597
Hg 0.2205 0.7500 0.3167
Hg 0.7795 0.2500 0.6833
K 0.2311 0.2500 0.5583
K 0.7689 0.7500 0.4417

Summary:
Symmetry: No. 11
Uncorrected formation energy (eV per atom): -1.011

---

Entry 19:
The following is a DFT calculation (PBE-GGA) of LaTh2Cu after structural relaxation.

a = 3.6298 Å, b = 3.6298 Å, c = 8.6412 Å
α = 90.00°, β = 90.00°, γ = 90.00°
Positions (direct):
Cu 0.5000 0.5000 0.0000
La 0.5000 0.5000 0.5000
Th 0.0000 0.0000 0.8015
Th 0.0000 0.0000 0.1985

Summary:
Symmetry: No. 123
Formation energy from the elements (eV/atom): 0.012
ΔE to the lowest computed polymorph (meV per atom): 0

---

Entry 20:
The following is a DFT calculation (PBE-GGA) of Gd2AuI after structural relaxation.

a = 3.6379 Å, b = 3.6379 Å, c = 8.1881 Å
α = 90.00°, β = 90.00°, γ = 90.00°
Each line ends with the local moment (μB).
Positions (direct):
Au 0.5000 0.5000 0.0000  0.02
Gd 0.0000 0.0000 0.7797  7.21
Gd 0.0000 0.0000 0.2203  7.21
I 0.5000 0.5000 0.5000  -0.02

Summary:
Symmetry: No. 123
Uncorrected formation energy (eV per atom): -0.730
ΔE to the lowest computed polymorph (meV per atom): 112

---

Entry 21:
The following is a DFT calculation (PBE-GGA) of LaHg3N after structural relaxation.

a = 4.9196 Å, b = 4.9196 Å, c = 4.9196 Å
α = 90.00°, β = 90.00°, γ = 90.00°
Positions (direct):
La 0.5000 0.5000 0.5000
Hg 0.5000 0.0000 0.0000
Hg 0.0000 0.0000 0.5000
Hg 0.0000 0.5000 0.0000
N 0.0000 0.0000 0.0000

Summary:
Symmetry: No. 221
Uncorrected formation energy (eV per atom): 0.557
ΔE to the lowest computed polymorph (meV per atom): 0

---

Entry 22:
The following is a DFT calculation (PBE-GGA) of HfAl2Ag after structural relaxation.

a = 4.1600 Å, b = 6.6592 Å, c = 10.2536 Å
α = 90.00°, β = 90.00°, γ = 90.00°
Positions (direct):
Al 0.7500 0.8162 0.0234
Al 0.7500 0.5761 0.6711
Al 0.2500 0.6838 0.5234
Al 0.2500 0.1838 0.9766
Al 0.2500 0.4239 0.3289
Al 0.7500 0.3162 0.4766
Al 0.7500 0.0761 0.8289
Al 0.2500 0.9239 0.1711
Hf 0.7500 0.2152 0.1903
Hf 0.2500 0.2848 0.6903
Hf 0.2500 0.7848 0.8097
Hf 0.7500 0.7152 0.3097
Ag 0.2500 0.5519 0.0898
Ag 0.7500 0.4481 0.9102
Ag 0.2500 0.0519 0.4102
Ag 0.7500 0.9481 0.5898

Summary:
Symmetry: No. 62
Formation energy from the elements (eV/atom): -0.188
ΔE to the lowest computed polymorph (meV per atom): 93

---

Entry 23:
The following is a DFT calculation (PBE-GGA) of Pa3Tl4IO12 after structural relaxation.

a = 7.5662 Å, b = 7.5662 Å, c = 7.5662 Å
α = 109.47°, β = 109.47°, γ = 109.47°
Positions (direct):
Tl 0.0000 0.5000 0.0000
Tl 0.5000 0.5000 0.5000
Tl 0.5000 0.0000 0.0000
Tl 0.0000 0.0000 0.5000
I 0.0000 0.0000 0.0000
Pa 0.5000 0.5000 0.0000
Pa 0.5000 0.0000 0.5000
Pa 0.0000 0.5000 0.5000
O 0.2500 0.5000 0.7500
O 0.2460 0.0000 0.2460
O 0.2500 0.7500 0.5000
O 0.7500 0.2500 0.5000
O 0.7540 0.7540 0.0000
O 0.7540 0.0000 0.7540
O 0.0000 0.7540 0.7540
O 0.5000 0.2500 0.7500
O 0.2460 0.2460 0.0000
O 0.5000 0.7500 0.2500
O 0.0000 0.2460 0.2460
O 0.7500 0.5000 0.2500

Summary:
Symmetry: No. 229
Uncorrected formation energy (eV per atom): -2.135

---

Entry 24:
The following is a DFT calculation (PBE-GGA) of Pm6Dy2Ho3Mg after structural relaxation.

a = 6.2025 Å, b = 6.2025 Å, c = 11.7427 Å
α = 95.06°, β = 95.06°, γ = 120.03°
Positions (direct):
Pm 0.2501 0.2501 0.7497
Pm 0.7499 0.7499 0.2503
Pm 0.9175 0.5851 0.7509
Pm 0.5851 0.9175 0.7509
Pm 0.0825 0.4149 0.2491
Pm 0.4149 0.0825 0.2491
Ho 0.1663 0.8337 0.5000
Ho 0.8337 0.1663 0.5000
Ho 0.5000 0.5000 0.5000
Dy 0.3334 0.6666 0.0000
Dy 0.6666 0.3334 0.0000
Mg 0.0000 0.0000 0.0000

Summary:
Symmetry: No. 12
Formation energy from the elements (eV/atom): 0.020